DFT (PBE) results for an optimized crystal structure of Tb8DyEr2.

Structure (POSCAR):
```
Tb8DyEr2
1.0
-2.285 2.708 4.674
-8.287 -1.393 3.189
-1.299 -6.604 6.407
Tb Dy Er
8 1 2
Direct
0.707 0.567 0.000 Tb
0.185 0.662 0.240 Tb
0.500 0.205 0.590 Tb
0.815 0.098 0.240 Tb
0.185 0.902 0.760 Tb
0.500 0.795 0.410 Tb
0.293 0.433 0.000 Tb
0.815 0.338 0.760 Tb
0.500 0.000 0.000 Dy
0.000 0.310 0.380 Er
0.000 0.690 0.620 Er
```

Computed properties:
For the uncorrected energy, the calculation gives -49.1 eV/cell. The size of the total moment is 0.000 μB per formula unit. As for the symmetry: No. 12.

=====

DFT (PBE) results for an optimized crystal structure of Ce2TmZn3.

Structure (POSCAR):
```
Ce2TmZn3
1.0
-0.016 4.631 -2.055
1.184 -4.027 -2.838
-11.977 -1.385 -3.031
Tm Ce Zn
2 4 6
Direct
0.333 0.667 0.667 Tm
0.667 0.333 0.333 Tm
0.000 0.000 0.000 Ce
0.667 0.333 0.834 Ce
0.000 0.000 0.500 Ce
0.333 0.667 0.166 Ce
0.000 0.000 0.254 Zn
0.000 0.000 0.746 Zn
0.667 0.333 0.584 Zn
0.333 0.667 0.416 Zn
0.667 0.333 0.088 Zn
0.333 0.667 0.912 Zn
```

Computed properties:
For the uncorrected energy, the calculation gives -43.1 eV/cell. The size of the total moment is 0.918 μB per formula unit. As for the symmetry: No. 164.

=====

no.,ΔH_f (0 K) (eV per atom)
1,0.15
2,-0.23